No. 1
# TaTe2Br

TaTe2Br after structural relaxation (PBE, the Alexandria database).

Lattice parameters (Å, degrees): 3.4718 5.1149 5.2468 90.00 90.00 90.00
Fractional positions:
1 Ta 0.0000 0.0000 0.0000
2 Te 0.0000 0.5000 0.5000
3 Te 0.5000 0.0000 0.5000
4 Br 0.5000 0.5000 0.0000

## Properties
D(E_F), states/eV per cell: 3.9
E above lowest polymorph, meV per atom: 1073
Formation energy without anion corrections, eV per atom: 0.71
Calculated total energy, eV/atom: -4.245
Space group: No. 47


No. 2
# Ta2TeBr

Ta2TeBr after structural relaxation (PBE, the Alexandria database).

Lattice parameters (Å, degrees): 3.4500 6.4696 9.7687 86.46 88.91 74.54
Fractional positions:
1 Ta 0.0000 0.0000 0.0000
2 Ta 0.1238 0.7773 0.7723
3 Ta 0.3749 0.2694 0.8221
4 Ta 0.7192 0.5665 0.9582
5 Te 0.3429 0.2997 0.1303
6 Te 0.5984 0.7815 0.2027
7 Br 0.2760 0.4932 0.5767
8 Br 0.5278 0.9878 0.6031

## Properties
D(E_F), states/eV per cell: 3.6
E above lowest polymorph, meV per atom: 19
Formation energy without anion corrections, eV per atom: -0.23
Calculated total energy, eV/atom: -7.360
Space group: No. 1